(1)
Density functional theory data (GGA-PBEsol) for a relaxed structure of CsNa3Zr.

## Properties
Energy of formation from the pure elements, kJ/mol of formula units: 634

The structure in CIF format:
```
data_CsNa3Zr
_chemical_formula_sum 'Cs1 Na3 Zr1'
_cell_length_a 5.925
_cell_length_b 5.925
_cell_length_c 5.925
_cell_angle_alpha 90.00
_cell_angle_beta 90.00
_cell_angle_gamma 90.00
_symmetry_space_group_name_H-M 'P 1'
_symmetry_Int_Tables_number 1
loop_
_symmetry_equiv_pos_as_xyz
'x,y,z'
loop_
_atom_site_label
_atom_site_type_symbol
_atom_site_fract_x
_atom_site_fract_y
_atom_site_fract_z
Cs1 Cs 0.000 0.000 0.000
Na1 Na 0.000 0.000 0.500
Na2 Na 0.000 0.500 0.000
Na3 Na 0.500 0.000 0.000
Zr1 Zr 0.500 0.500 0.500
```


(2)
Density functional theory data (GGA-PBEsol) for a relaxed structure of CaGaBi2.

## Properties
Energy of formation from the pure elements, kJ/mol of formula units: -108

The structure in CIF format:
```
data_CaGaBi2
_chemical_formula_sum 'Ca2 Ga2 Bi4'
_cell_length_a 6.755
_cell_length_b 6.755
_cell_length_c 6.755
_cell_angle_alpha 103.84
_cell_angle_beta 103.84
_cell_angle_gamma 121.45
_symmetry_space_group_name_H-M 'P 1'
_symmetry_Int_Tables_number 1
loop_
_symmetry_equiv_pos_as_xyz
'x,y,z'
loop_
_atom_site_label
_atom_site_type_symbol
_atom_site_fract_x
_atom_site_fract_y
_atom_site_fract_z
Ca1 Ca 0.000 0.000 0.000
Ca2 Ca 0.750 0.250 0.500
Ga1 Ga 0.250 0.750 0.500
Ga2 Ga 0.500 0.500 0.000
Bi1 Bi 0.164 0.625 0.039
Bi2 Bi 0.375 0.414 0.539
Bi3 Bi 0.586 0.125 0.961
Bi4 Bi 0.875 0.836 0.461
```


(3)
Density functional theory data (GGA-PBEsol) for a relaxed structure of Mg2Sb2Pt.

## Properties
Raw formation energy, eV/f.u.: -0.85

The structure in CIF format:
```
data_Mg2Sb2Pt
_chemical_formula_sum 'Mg4 Sb4 Pt2'
_cell_length_a 7.186
_cell_length_b 7.186
_cell_length_c 4.360
_cell_angle_alpha 90.00
_cell_angle_beta 90.00
_cell_angle_gamma 90.00
_symmetry_space_group_name_H-M 'P 1'
_symmetry_Int_Tables_number 1
loop_
_symmetry_equiv_pos_as_xyz
'x,y,z'
loop_
_atom_site_label
_atom_site_type_symbol
_atom_site_fract_x
_atom_site_fract_y
_atom_site_fract_z
Mg1 Mg 0.157 0.343 0.000
Mg2 Mg 0.343 0.843 0.000
Mg3 Mg 0.657 0.157 0.000
Mg4 Mg 0.843 0.657 0.000
Sb1 Sb 0.158 0.658 0.500
Sb2 Sb 0.342 0.158 0.500
Sb3 Sb 0.658 0.842 0.500
Sb4 Sb 0.842 0.342 0.500
Pt1 Pt 0.000 0.000 0.500
Pt2 Pt 0.500 0.500 0.500
```


(4)
Density functional theory data (GGA-PBEsol) for a relaxed structure of AsIrCl4.

## Properties
Raw formation energy, eV/f.u.: 8.62

The structure in CIF format:
```
data_AsIrCl4
_chemical_formula_sum 'As1 Ir1 Cl4'
_cell_length_a 5.422
_cell_length_b 5.422
_cell_length_c 5.422
_cell_angle_alpha 60.00
_cell_angle_beta 60.00
_cell_angle_gamma 60.00
_symmetry_space_group_name_H-M 'P 1'
_symmetry_Int_Tables_number 1
loop_
_symmetry_equiv_pos_as_xyz
'x,y,z'
loop_
_atom_site_label
_atom_site_type_symbol
_atom_site_fract_x
_atom_site_fract_y
_atom_site_fract_z
As1 As 0.000 0.000 0.000
Ir1 Ir 0.750 0.750 0.750
Cl1 Cl 0.376 0.376 0.376
Cl2 Cl 0.376 0.376 0.871
Cl3 Cl 0.376 0.871 0.376
Cl4 Cl 0.871 0.376 0.376
```


(5)
Density functional theory data (GGA-PBEsol) for a relaxed structure of LiTa2Ag.

## Properties
Energy of formation from the pure elements, kJ/mol of formula units: 142
Energy above the most stable polymorph in this dataset, eV per atom: 0.035

The structure in CIF format:
```
data_LiTa2Ag
_chemical_formula_sum 'Li1 Ta2 Ag1'
_cell_length_a 10.287
_cell_length_b 10.287
_cell_length_c 10.287
_cell_angle_alpha 15.68
_cell_angle_beta 15.68
_cell_angle_gamma 15.68
_symmetry_space_group_name_H-M 'P 1'
_symmetry_Int_Tables_number 1
loop_
_symmetry_equiv_pos_as_xyz
'x,y,z'
loop_
_atom_site_label
_atom_site_type_symbol
_atom_site_fract_x
_atom_site_fract_y
_atom_site_fract_z
Li1 Li 0.000 0.000 0.000
Ta1 Ta 0.248 0.248 0.248
Ta2 Ta 0.752 0.752 0.752
Ag1 Ag 0.500 0.500 0.500
```


(6)
Density functional theory data (GGA-PBEsol) for a relaxed structure of BaTe2Se.

## Properties
Raw formation energy, eV/f.u.: -3.55

The structure in CIF format:
```
data_BaTe2Se
_chemical_formula_sum 'Ba1 Te2 Se1'
_cell_length_a 4.517
_cell_length_b 4.092
_cell_length_c 7.367
_cell_angle_alpha 90.00
_cell_angle_beta 107.09
_cell_angle_gamma 90.00
_symmetry_space_group_name_H-M 'P 1'
_symmetry_Int_Tables_number 1
loop_
_symmetry_equiv_pos_as_xyz
'x,y,z'
loop_
_atom_site_label
_atom_site_type_symbol
_atom_site_fract_x
_atom_site_fract_y
_atom_site_fract_z
Ba1 Ba 0.000 0.000 0.000
Te1 Te 0.390 0.500 0.718
Te2 Te 0.523 0.000 0.463
Se1 Se 0.597 0.500 0.205
```


(7)
Density functional theory data (GGA-PBEsol) for a relaxed structure of Na2MgGaF7.

## Properties
Raw formation energy, eV/f.u.: -32.84

The structure in CIF format:
```
data_Na2MgGaF7
_chemical_formula_sum 'Na4 Mg2 Ga2 F14'
_cell_length_a 7.249
_cell_length_b 7.249
_cell_length_c 7.249
_cell_angle_alpha 120.98
_cell_angle_beta 90.54
_cell_angle_gamma 118.42
_symmetry_space_group_name_H-M 'P 1'
_symmetry_Int_Tables_number 1
loop_
_symmetry_equiv_pos_as_xyz
'x,y,z'
loop_
_atom_site_label
_atom_site_type_symbol
_atom_site_fract_x
_atom_site_fract_y
_atom_site_fract_z
Na1 Na 0.000 0.000 0.000
Na2 Na 0.500 0.000 0.000
Na3 Na 0.500 0.000 0.500
Na4 Na 0.500 0.500 0.500
Mg1 Mg 0.000 0.000 0.500
Mg2 Mg 0.000 0.500 0.000
Ga1 Ga 0.000 0.500 0.500
Ga2 Ga 0.500 0.500 0.000
F1 F 0.049 0.238 0.419
F2 F 0.049 0.630 0.812
F3 F 0.102 0.852 0.250
F4 F 0.317 0.728 0.590
F5 F 0.318 0.238 0.688
F6 F 0.318 0.630 0.081
F7 F 0.362 0.272 0.090
F8 F 0.638 0.728 0.910
F9 F 0.682 0.370 0.919
F10 F 0.682 0.762 0.312
F11 F 0.683 0.272 0.410
F12 F 0.898 0.148 0.750
F13 F 0.951 0.370 0.188
F14 F 0.951 0.762 0.581
```


(8)
Density functional theory data (GGA-PBEsol) for a relaxed structure of V12PbO30.

## Properties
Raw formation energy, eV/f.u.: -97.16

The structure in CIF format:
```
data_V12PbO30
_chemical_formula_sum 'V12 Pb1 O30'
_cell_length_a 7.190
_cell_length_b 7.954
_cell_length_c 10.082
_cell_angle_alpha 109.34
_cell_angle_beta 90.01
_cell_angle_gamma 103.12
_symmetry_space_group_name_H-M 'P 1'
_symmetry_Int_Tables_number 1
loop_
_symmetry_equiv_pos_as_xyz
'x,y,z'
loop_
_atom_site_label
_atom_site_type_symbol
_atom_site_fract_x
_atom_site_fract_y
_atom_site_fract_z
V1 V 0.000 0.000 0.000
V2 V 0.025 0.097 0.692
V3 V 0.109 0.440 0.989
V4 V 0.226 0.906 0.218
V5 V 0.310 0.235 0.508
V6 V 0.336 0.345 0.205
V7 V 0.498 0.999 0.001
V8 V 0.523 0.098 0.694
V9 V 0.609 0.437 0.986
V10 V 0.725 0.902 0.215
V11 V 0.805 0.229 0.505
V12 V 0.837 0.347 0.207
Pb1 Pb 0.164 0.665 0.692
O1 O 0.035 0.144 0.880
O2 O 0.045 0.176 0.524
O3 O 0.073 0.297 0.153
O4 O 0.111 0.451 0.830
O5 O 0.167 0.670 0.100
O6 O 0.221 0.891 0.372
O7 O 0.261 0.047 0.046
O8 O 0.291 0.164 0.679
O9 O 0.297 0.193 0.320
O10 O 0.350 0.403 0.028
O11 O 0.366 0.455 0.569
O12 O 0.380 0.541 0.323
O13 O 0.433 0.799 0.881
O14 O 0.456 0.879 0.635
O15 O 0.484 0.940 0.176
O16 O 0.536 0.145 0.882
O17 O 0.542 0.171 0.521
O18 O 0.575 0.299 0.158
O19 O 0.614 0.448 0.831
O20 O 0.667 0.670 0.102
O21 O 0.724 0.895 0.373
O22 O 0.758 0.035 0.040
O23 O 0.787 0.151 0.674
O24 O 0.799 0.194 0.318
O25 O 0.851 0.403 0.028
O26 O 0.860 0.449 0.570
O27 O 0.890 0.544 0.324
O28 O 0.964 0.799 0.881
O29 O 0.981 0.878 0.632
O30 O 0.985 0.939 0.175
```


(9)
Density functional theory data (GGA-PBEsol) for a relaxed structure of CaZn.

## Properties
Energy of formation from the pure elements, kJ/mol of formula units: -43

The structure in CIF format:
```
data_CaZn
_chemical_formula_sum 'Ca2 Zn2'
_cell_length_a 5.916
_cell_length_b 5.916
_cell_length_c 4.403
_cell_angle_alpha 90.00
_cell_angle_beta 90.00
_cell_angle_gamma 139.19
_symmetry_space_group_name_H-M 'P 1'
_symmetry_Int_Tables_number 1
loop_
_symmetry_equiv_pos_as_xyz
'x,y,z'
loop_
_atom_site_label
_atom_site_type_symbol
_atom_site_fract_x
_atom_site_fract_y
_atom_site_fract_z
Ca1 Ca 0.146 0.854 0.750
Ca2 Ca 0.854 0.146 0.250
Zn1 Zn 0.438 0.562 0.750
Zn2 Zn 0.562 0.438 0.250
```


(10)
Density functional theory data (GGA-PBEsol) for a relaxed structure of KCuNiI2.

## Properties
Raw formation energy, eV/f.u.: 6.14

The structure in CIF format:
```
data_KCuNiI2
_chemical_formula_sum 'K1 Cu1 Ni1 I2'
_cell_length_a 6.086
_cell_length_b 6.086
_cell_length_c 5.030
_cell_angle_alpha 90.00
_cell_angle_beta 90.00
_cell_angle_gamma 90.00
_symmetry_space_group_name_H-M 'P 1'
_symmetry_Int_Tables_number 1
loop_
_symmetry_equiv_pos_as_xyz
'x,y,z'
loop_
_atom_site_label
_atom_site_type_symbol
_atom_site_fract_x
_atom_site_fract_y
_atom_site_fract_z
K1 K 0.000 0.000 0.000
Cu1 Cu 0.000 0.000 0.500
Ni1 Ni 0.500 0.500 0.500
I1 I 0.000 0.500 0.000
I2 I 0.500 0.000 0.000
```


Number 1: DOS at the Fermi energy 4.91 states/eV per cell. Number 2: DOS at the Fermi energy 6.02 states/eV per cell. Number 3: DOS at the Fermi energy 4.09 states/eV per cell. Number 4: DOS at the Fermi energy 7.80 states/eV per cell. Number 5: DOS at the Fermi energy 2.87 states/eV per cell. Number 6: DOS at the Fermi energy 0.11 states/eV per cell. Number 7: DOS at the Fermi energy 0.00 states/eV per cell. Number 8: DOS at the Fermi energy 7.61 states/eV per cell. Number 9: DOS at the Fermi energy 3.17 states/eV per cell. Number 10: DOS at the Fermi energy 13.39 states/eV per cell.